Computed, not measured: an optimized crystal structure of Ba4HoPu3O12 at the PBE-GGA level of DFT.

Properties
Formation energy without anion corrections = -291.25 kJ per mole of atoms
ρ = 8.03 g cm⁻³

Unit cell a=7.6071 b=7.6071 c=7.6071 alpha=109.47 beta=109.47 gamma=109.47
Last column: nearest neighbours and their distance in Å.
Positions (direct):
Ba 0.0000 0.0000 0.5000  12 O 3.11
Ba 0.0000 0.5000 0.0000  12 O 3.11
Ba 0.5000 0.0000 0.0000  12 O 3.11
Ba 0.5000 0.5000 0.5000  12 O 3.11
Ho 0.0000 0.0000 0.0000  6 O 2.24
Pu 0.0000 0.5000 0.5000  6 O 2.15-2.20
Pu 0.5000 0.0000 0.5000  6 O 2.15-2.20
Pu 0.5000 0.5000 0.0000  6 O 2.15-2.20
O 0.0000 0.2554 0.2554  1 Pu 2.15, 1 Ho 2.24
O 0.0000 0.7446 0.7446  1 Pu 2.15, 1 Ho 2.24
O 0.2500 0.5000 0.7500  2 Pu 2.20
O 0.2500 0.7500 0.5000  2 Pu 2.20
O 0.2554 0.0000 0.2554  1 Pu 2.15, 1 Ho 2.24
O 0.2554 0.2554 0.0000  1 Pu 2.15, 1 Ho 2.24
O 0.5000 0.2500 0.7500  2 Pu 2.20
O 0.5000 0.7500 0.2500  2 Pu 2.20
O 0.7446 0.0000 0.7446  1 Pu 2.15, 1 Ho 2.24
O 0.7446 0.7446 0.0000  1 Pu 2.15, 1 Ho 2.24
O 0.7500 0.2500 0.5000  2 Pu 2.20
O 0.7500 0.5000 0.2500  2 Pu 2.20



Computed, not measured: an optimized crystal structure of Ba2HoPuO6 at the PBE-GGA level of DFT.

Properties
Formation energy without anion corrections = -295.43 kJ per mole of atoms
ρ = 7.75 g cm⁻³

Unit cell a=6.1805 b=6.1805 c=6.1805 alpha=60.00 beta=60.00 gamma=60.00
Last column: nearest neighbours and their distance in Å.
Positions (direct):
Ba 0.2500 0.2500 0.2500  12 O 3.09
Ba 0.7500 0.7500 0.7500  12 O 3.09
Ho 0.0000 0.0000 0.0000  6 O 2.23
Pu 0.5000 0.5000 0.5000  6 O 2.14
O 0.2556 0.2556 0.7444  1 Pu 2.14, 1 Ho 2.23
O 0.2556 0.7444 0.2556  1 Pu 2.14, 1 Ho 2.23
O 0.2556 0.7444 0.7444  1 Pu 2.14, 1 Ho 2.23
O 0.7444 0.2556 0.2556  1 Pu 2.14, 1 Ho 2.23
O 0.7444 0.2556 0.7444  1 Pu 2.14, 1 Ho 2.23
O 0.7444 0.7444 0.2556  1 Pu 2.14, 1 Ho 2.23



Computed, not measured: an optimized crystal structure of BaHo2PuO8 at the PBE-GGA level of DFT.

Properties
Formation energy without anion corrections = -266.61 kJ per mole of atoms
ρ = 7.12 g cm⁻³

Unit cell a=5.1232 b=7.4578 c=5.1243 alpha=90.00 beta=90.23 gamma=90.00
Last column: nearest neighbours and their distance in Å.
Positions (direct):
Ba 0.0000 0.0000 0.0000  6 O 2.54-2.66
Ho 0.5000 0.2670 0.5000  6 O 2.27-2.32
Ho 0.5000 0.7330 0.5000  6 O 2.27-2.32
Pu 0.0000 0.5000 0.0000  6 O 1.99-2.10
O 0.1879 0.3060 0.1907  1 Pu 1.99
O 0.1879 0.6940 0.1907  1 Pu 1.99
O 0.2899 0.5000 0.7124  1 Pu 2.10, 2 Ho 2.32
O 0.3532 0.0000 0.6525  1 O 2.17, 2 Ho 2.27
O 0.6468 0.0000 0.3475  1 O 2.17, 2 Ho 2.27
O 0.7101 0.5000 0.2876  1 Pu 2.10, 2 Ho 2.32
O 0.8121 0.3060 0.8093  1 Pu 1.99
O 0.8121 0.6940 0.8093  1 Pu 1.99